(1)
{
  "formula": "Sc2CdRu",
  "functional": "GGA-PBE",
  "state": "optimized geometry",
  "magnetic_moment_mub_per_fu": 0.000,
  "volume_a3_per_atom": 20.38,
  "e_form_ev_per_atom": -0.24,
  "cell": [[8.975, -0.048, -0.028], [8.395, 3.176, -0.028], [8.395, 1.512, 2.793]],
  "species": ["Sc", "Sc", "Ru", "Cd"],
  "frac_coords": [[0.488, 0.488, 0.488], [0.012, 0.012, 0.012], [0.750, 0.750, 0.750], [0.250, 0.250, 0.250]]
}

(2)
{
  "formula": "ScCdRu",
  "functional": "GGA-PBE",
  "state": "optimized geometry",
  "magnetic_moment_mub_per_fu": 0.000,
  "de_polymorph_ev_per_atom": 0.0572,
  "volume_a3_per_atom": 18.38,
  "e_form_ev_per_atom": -0.25,
  "cell": [[5.446, -0.025, 0.028], [4.427, 3.170, 0.037], [1.018, 0.314, 3.180]],
  "species": ["Sc", "Ru", "Cd"],
  "frac_coords": [[0.312, 0.312, 0.688], [0.678, 0.678, 0.322], [0.010, 0.010, 0.990]]
}

(3)
{
  "formula": "ScCdRu",
  "functional": "GGA-PBE",
  "state": "optimized geometry",
  "magnetic_moment_mub_per_fu": 0.001,
  "de_polymorph_ev_per_atom": 0.2574,
  "volume_a3_per_atom": 19.35,
  "e_form_ev_per_atom": -0.05,
  "cell": [[3.177, 0.000, 0.000], [-1.588, 2.751, 0.000], [0.000, 0.000, 6.640]],
  "species": ["Sc", "Cd", "Ru"],
  "frac_coords": [[0.667, 0.333, 0.627], [0.000, 0.000, 0.020], [0.333, 0.667, 0.353]]
}

(4)
{
  "formula": "ScCd4Ru",
  "functional": "GGA-PBE",
  "state": "optimized geometry",
  "magnetic_moment_mub_per_fu": 0.283,
  "volume_a3_per_atom": 19.85,
  "e_form_ev_per_atom": 0.12,
  "cell": [[0.000, 3.905, 3.905], [3.905, 0.000, 3.905], [3.905, 3.905, 0.000]],
  "species": ["Cd", "Cd", "Cd", "Cd", "Ru", "Sc"],
  "frac_coords": [[0.873, 0.376, 0.376], [0.376, 0.873, 0.376], [0.376, 0.376, 0.873], [0.376, 0.376, 0.376], [0.750, 0.750, 0.750], [0.000, 0.000, 0.000]]
}

(5)
{
  "formula": "Sc5Cd4Ru",
  "functional": "GGA-PBE",
  "state": "optimized geometry",
  "magnetic_moment_mub_per_fu": 0.129,
  "volume_a3_per_atom": 20.88,
  "e_form_ev_per_atom": -0.37,
  "cell": [[-1.602, -0.654, -2.917], [-2.477, -1.564, 1.711], [-8.959, 15.718, 1.396]],
  "species": ["Cd", "Cd", "Cd", "Cd", "Sc", "Sc", "Sc", "Sc", "Sc", "Ru"],
  "frac_coords": [[0.000, 0.000, 0.810], [0.000, 0.000, 0.397], [0.000, 0.000, 0.190], [0.000, 0.000, 0.603], [0.500, 0.500, 0.293], [0.500, 0.500, 0.918], [0.500, 0.500, 0.500], [0.500, 0.500, 0.082], [0.500, 0.500, 0.707], [0.000, 0.000, 0.000]]
}

(6)
{
  "formula": "Sc3CdRu",
  "functional": "GGA-PBE",
  "state": "optimized geometry",
  "magnetic_moment_mub_per_fu": 0.000,
  "de_polymorph_ev_per_atom": 0.0000,
  "volume_a3_per_atom": 24.97,
  "e_form_ev_per_atom": -0.12,
  "cell": [[-2.567, 0.825, 4.209], [-3.888, -2.520, -1.877], [1.812, -4.237, 1.935]],
  "species": ["Sc", "Sc", "Sc", "Ru", "Cd"],
  "frac_coords": [[0.000, 0.500, 0.000], [0.000, 0.000, 0.500], [0.500, 0.000, 0.000], [0.000, 0.000, 0.000], [0.500, 0.500, 0.500]]
}

(7)
{
  "formula": "Sc2CdRu",
  "functional": "GGA-PBE",
  "state": "optimized geometry",
  "magnetic_moment_mub_per_fu": 0.000,
  "volume_a3_per_atom": 23.97,
  "e_form_ev_per_atom": 0.18,
  "cell": [[-4.548, 4.347, 3.771], [0.603, -6.232, -3.821], [4.981, -5.333, -0.739]],
  "species": ["Sc", "Sc", "Ru", "Cd"],
  "frac_coords": [[0.000, 0.171, 0.171], [0.000, 0.829, 0.829], [0.000, 0.000, 0.000], [0.000, 0.500, 0.500]]
}

(8)
{
  "formula": "ScCdRu3",
  "functional": "GGA-PBE",
  "state": "optimized geometry",
  "magnetic_moment_mub_per_fu": 4.600,
  "de_polymorph_ev_per_atom": 0.4117,
  "volume_a3_per_atom": 22.72,
  "e_form_ev_per_atom": 1.74,
  "cell": [[-0.851, 1.790, -4.419], [4.265, -1.719, -1.518], [-2.130, -4.158, -1.274]],
  "species": ["Cd", "Sc", "Ru", "Ru", "Ru"],
  "frac_coords": [[0.000, 0.000, 0.000], [0.500, 0.500, 0.500], [0.000, 0.000, 0.500], [0.000, 0.500, 0.000], [0.500, 0.000, 0.000]]
}

(9)
{
  "formula": "Sc2CdRu",
  "functional": "GGA-PBE",
  "state": "optimized geometry",
  "magnetic_moment_mub_per_fu": 0.000,
  "volume_a3_per_atom": 21.95,
  "e_form_ev_per_atom": -0.04,
  "cell": [[-2.658, -6.924, 7.027], [-0.323, -5.475, 8.620], [-3.266, -4.282, 8.682]],
  "species": ["Cd", "Sc", "Sc", "Ru"],
  "frac_coords": [[0.000, 0.000, 0.000], [0.897, 0.897, 0.897], [0.103, 0.103, 0.103], [0.500, 0.500, 0.500]]
}

(10)
{
  "formula": "ScCdRu",
  "functional": "GGA-PBE",
  "state": "optimized geometry",
  "magnetic_moment_mub_per_fu": 0.000,
  "de_polymorph_ev_per_atom": 0.0000,
  "volume_a3_per_atom": 18.06,
  "e_form_ev_per_atom": -0.30,
  "cell": [[3.371, 0.000, 0.000], [0.000, 4.491, 0.000], [-1.685, 0.000, 7.159]],
  "species": ["Ru", "Ru", "Sc", "Sc", "Cd", "Cd"],
  "frac_coords": [[0.579, 0.750, 0.157], [0.421, 0.250, 0.843], [0.076, 0.250, 0.151], [0.924, 0.750, 0.849], [0.238, 0.750, 0.477], [0.762, 0.250, 0.523]]
}

(11)
{
  "formula": "ScCdSnRu",
  "functional": "GGA-PBE",
  "state": "optimized geometry",
  "magnetic_moment_mub_per_fu": 0.000,
  "volume_a3_per_atom": 18.60,
  "e_form_ev_per_atom": -0.23,
  "cell": [[4.721, 0.000, 0.000], [2.360, 4.088, 0.000], [2.360, 1.363, 3.854]],
  "species": ["Sn", "Sc", "Ru", "Cd"],
  "frac_coords": [[0.250, 0.250, 0.250], [0.500, 0.500, 0.500], [0.000, 0.000, 0.000], [0.750, 0.750, 0.750]]
}

(12)
{
  "formula": "TbScCdRu",
  "functional": "GGA-PBE",
  "state": "optimized geometry",
  "magnetic_moment_mub_per_fu": 0.000,
  "de_polymorph_ev_per_atom": 0.0000,
  "volume_a3_per_atom": 21.27,
  "e_form_ev_per_atom": -0.44,
  "cell": [[3.379, 0.000, 0.000], [0.000, 3.379, 0.000], [0.000, 0.000, 7.453]],
  "species": ["Ru", "Tb", "Cd", "Sc"],
  "frac_coords": [[0.000, 0.000, 0.550], [0.500, 0.500, 0.785], [0.000, 0.000, 0.094], [0.500, 0.500, 0.355]]
}

(13)
{
  "formula": "TbScCdRu",
  "functional": "GGA-PBE",
  "state": "optimized geometry",
  "magnetic_moment_mub_per_fu": 0.000,
  "de_polymorph_ev_per_atom": 0.1391,
  "volume_a3_per_atom": 20.92,
  "e_form_ev_per_atom": -0.30,
  "cell": [[-1.672, -1.039, -4.498], [-3.563, -3.326, -0.587], [-4.501, 1.434, -1.338]],
  "species": ["Ru", "Tb", "Cd", "Sc"],
  "frac_coords": [[0.250, 0.250, 0.250], [0.000, 0.000, 0.000], [0.750, 0.750, 0.750], [0.500, 0.500, 0.500]]
}

(14)
{
  "formula": "ScCd2RuW",
  "functional": "GGA-PBE",
  "state": "optimized geometry",
  "magnetic_moment_mub_per_fu": 0.234,
  "volume_a3_per_atom": 24.99,
  "e_form_ev_per_atom": 1.07,
  "cell": [[5.222, 0.000, 0.000], [0.000, 4.582, 0.000], [0.000, 0.000, 5.222]],
  "species": ["Cd", "Cd", "Sc", "W", "Ru"],
  "frac_coords": [[0.000, 0.000, 0.500], [0.500, 0.000, 0.000], [0.500, 0.500, 0.500], [0.000, 0.000, 0.000], [0.000, 0.500, 0.000]]
}

(15)
{
  "formula": "ZrScCdRu",
  "functional": "GGA-PBE",
  "state": "optimized geometry",
  "magnetic_moment_mub_per_fu": 0.000,
  "de_polymorph_ev_per_atom": 0.0000,
  "volume_a3_per_atom": 19.68,
  "e_form_ev_per_atom": -0.43,
  "cell": [[3.256, 0.000, 0.000], [0.000, 3.256, 0.000], [0.000, 0.000, 7.424]],
  "species": ["Zr", "Ru", "Cd", "Sc"],
  "frac_coords": [[0.500, 0.500, 0.785], [0.000, 0.000, 0.570], [0.000, 0.000, 0.076], [0.500, 0.500, 0.354]]
}

(16)
{
  "formula": "ZrScCdRu",
  "functional": "GGA-PBE",
  "state": "optimized geometry",
  "magnetic_moment_mub_per_fu": 0.000,
  "de_polymorph_ev_per_atom": 0.1295,
  "volume_a3_per_atom": 19.32,
  "e_form_ev_per_atom": -0.30,
  "cell": [[4.781, 0.000, 0.000], [2.391, 4.141, 0.000], [2.391, 1.380, 3.904]],
  "species": ["Cd", "Sc", "Ru", "Zr"],
  "frac_coords": [[0.750, 0.750, 0.750], [0.500, 0.500, 0.500], [0.250, 0.250, 0.250], [0.000, 0.000, 0.000]]
}

(17)
{
  "formula": "Cd2RuSe",
  "functional": "GGA-PBE",
  "state": "optimized geometry",
  "magnetic_moment_mub_per_fu": 0.524,
  "e_tot_ev_per_atom": -3.370,
  "volume_a3_per_atom": 19.02,
  "cell": [[3.645, 0.000, 0.000], [0.000, 3.643, 0.000], [0.000, 0.000, 5.732]],
  "species": ["Cd", "Cd", "Se", "Ru"],
  "frac_coords": [[0.000, 0.000, 0.489], [0.000, 0.000, 0.011], [0.500, 0.500, 0.750], [0.500, 0.500, 0.250]]
}

(18)
{
  "formula": "CdRuSe",
  "functional": "GGA-PBE",
  "state": "optimized geometry",
  "magnetic_moment_mub_per_fu": 0.006,
  "de_polymorph_ev_per_atom": 0.4039,
  "volume_a3_per_atom": 20.13,
  "cell": [[4.404, 0.000, 0.000], [2.202, 3.814, 0.000], [2.202, 1.271, 3.596]],
  "species": ["Cd", "Ru", "Se"],
  "frac_coords": [[0.500, 0.500, 0.500], [0.750, 0.750, 0.750], [0.000, 0.000, 0.000]]
}

(19)
{
  "formula": "CdRuSe2",
  "functional": "GGA-PBE",
  "state": "optimized geometry",
  "magnetic_moment_mub_per_fu": 0.000,
  "e_tot_ev_per_atom": -4.424,
  "volume_a3_per_atom": 24.00,
  "cell": [[4.499, -6.296, 2.375], [6.289, -3.328, 3.861], [3.297, -4.802, 5.621]],
  "species": ["Se", "Se", "Cd", "Ru"],
  "frac_coords": [[0.886, 0.886, 0.886], [0.114, 0.114, 0.114], [0.000, 0.000, 0.000], [0.500, 0.500, 0.500]]
}

(20)
{
  "formula": "CdRuSe",
  "functional": "GGA-PBE",
  "state": "optimized geometry",
  "magnetic_moment_mub_per_fu": 0.000,
  "de_polymorph_ev_per_atom": 0.0366,
  "volume_a3_per_atom": 19.12,
  "cell": [[-4.278, 4.983, -0.121], [-5.471, 2.985, -2.076], [-2.069, -0.799, 2.079]],
  "species": ["Ru", "Cd", "Se"],
  "frac_coords": [[0.313, 0.313, 0.687], [0.979, 0.979, 0.021], [0.708, 0.708, 0.292]]
}

(21)
{
  "formula": "Cd3RuSe",
  "functional": "GGA-PBE",
  "state": "optimized geometry",
  "magnetic_moment_mub_per_fu": 2.407,
  "de_polymorph_ev_per_atom": 0.4119,
  "volume_a3_per_atom": 28.47,
  "cell": [[-4.952, -1.641, -0.233], [0.214, -1.362, 5.036], [-1.644, 4.766, 1.359]],
  "species": ["Cd", "Cd", "Cd", "Se", "Ru"],
  "frac_coords": [[0.000, 0.000, 0.500], [0.000, 0.500, 0.000], [0.500, 0.000, 0.000], [0.000, 0.000, 0.000], [0.500, 0.500, 0.500]]
}

(22)
{
  "formula": "CdRuSe2",
  "functional": "GGA-PBE",
  "state": "optimized geometry",
  "magnetic_moment_mub_per_fu": 0.000,
  "e_tot_ev_per_atom": -4.237,
  "volume_a3_per_atom": 20.27,
  "cell": [[6.860, 0.015, -0.016], [4.907, 4.794, 0.016], [-5.594, -3.114, 2.465]],
  "species": ["Se", "Se", "Cd", "Ru"],
  "frac_coords": [[0.067, 0.067, 0.000], [0.773, 0.273, 0.500], [0.438, 0.438, 0.000], [0.222, 0.722, 0.500]]
}

(23)
{
  "formula": "CdRuSe2",
  "functional": "GGA-PBE",
  "state": "optimized geometry",
  "magnetic_moment_mub_per_fu": 0.000,
  "e_tot_ev_per_atom": -4.317,
  "volume_a3_per_atom": 22.72,
  "cell": [[6.321, -0.003, -0.001], [3.666, 5.149, 0.001], [-4.635, -3.270, 2.790]],
  "species": ["Se", "Se", "Cd", "Ru"],
  "frac_coords": [[0.094, 0.094, 0.000], [0.406, 0.406, 0.000], [0.750, 0.250, 0.500], [0.250, 0.750, 0.500]]
}

(24)
{
  "formula": "CdRuSe2",
  "functional": "GGA-PBE",
  "state": "optimized geometry",
  "magnetic_moment_mub_per_fu": 0.000,
  "e_tot_ev_per_atom": -4.328,
  "volume_a3_per_atom": 20.59,
  "cell": [[-2.128, -0.148, -2.098], [1.530, -2.157, -1.400], [-4.438, -6.358, 4.947]],
  "species": ["Se", "Se", "Cd", "Ru"],
  "frac_coords": [[0.500, 0.500, 0.276], [0.000, 0.000, 0.913], [0.000, 0.000, 0.542], [0.500, 0.500, 0.768]]
}

(25)
{
  "formula": "CdRu3Se",
  "functional": "GGA-PBE",
  "state": "optimized geometry",
  "magnetic_moment_mub_per_fu": 0.000,
  "de_polymorph_ev_per_atom": 0.0000,
  "volume_a3_per_atom": 18.71,
  "cell": [[-1.698, 2.769, -3.171], [-3.942, 0.154, 2.246], [1.478, 3.594, 2.347]],
  "species": ["Ru", "Ru", "Ru", "Se", "Cd"],
  "frac_coords": [[0.500, 0.000, 0.000], [0.000, 0.000, 0.500], [0.000, 0.500, 0.000], [0.000, 0.000, 0.000], [0.500, 0.500, 0.500]]
}

(26)
{
  "formula": "CdRuSe2",
  "functional": "GGA-PBE",
  "state": "optimized geometry",
  "magnetic_moment_mub_per_fu": 0.384,
  "e_tot_ev_per_atom": -4.319,
  "volume_a3_per_atom": 22.85,
  "cell": [[5.380, -0.001, 0.270], [4.456, 3.015, 0.270], [2.615, 0.801, 5.775]],
  "species": ["Se", "Se", "Cd", "Ru"],
  "frac_coords": [[0.083, 0.083, 0.914], [0.237, 0.237, 0.308], [0.439, 0.439, 0.683], [0.741, 0.741, 0.596]]
}

(27)
{
  "formula": "CdRuSe2",
  "functional": "GGA-PBE",
  "state": "optimized geometry",
  "magnetic_moment_mub_per_fu": 0.000,
  "e_tot_ev_per_atom": -4.342,
  "volume_a3_per_atom": 25.25,
  "cell": [[-2.567, -2.722, 2.086], [-1.759, -1.230, -3.769], [3.757, -3.901, -0.467]],
  "species": ["Ru", "Cd", "Se", "Se"],
  "frac_coords": [[0.500, 0.876, 0.003], [0.000, 0.373, 0.501], [0.000, 0.874, 0.799], [0.500, 0.377, 0.198]]
}

(28)
{
  "formula": "CdRuSe",
  "functional": "GGA-PBE",
  "state": "optimized geometry",
  "magnetic_moment_mub_per_fu": 0.001,
  "de_polymorph_ev_per_atom": 0.2975,
  "volume_a3_per_atom": 18.65,
  "cell": [[4.264, 0.000, 0.000], [-2.132, 3.693, 0.000], [0.000, 0.000, 3.554]],
  "species": ["Se", "Ru", "Cd"],
  "frac_coords": [[0.333, 0.667, 0.500], [0.667, 0.333, 0.500], [0.000, 0.000, 0.000]]
}

(29)
{
  "formula": "CdRuSe2",
  "functional": "GGA-PBE",
  "state": "optimized geometry",
  "magnetic_moment_mub_per_fu": 0.001,
  "e_tot_ev_per_atom": -4.221,
  "volume_a3_per_atom": 21.64,
  "cell": [[3.622, 0.000, 0.000], [0.000, 3.624, 0.000], [0.000, 0.000, 6.595]],
  "species": ["Se", "Se", "Cd", "Ru"],
  "frac_coords": [[0.500, 0.500, 0.284], [0.000, 0.000, 0.851], [0.000, 0.000, 0.446], [0.500, 0.500, 0.920]]
}

(30)
{
  "formula": "CdRuSe2",
  "functional": "GGA-PBE",
  "state": "optimized geometry",
  "magnetic_moment_mub_per_fu": 0.000,
  "e_tot_ev_per_atom": -3.828,
  "volume_a3_per_atom": 18.50,
  "cell": [[-1.778, -1.478, -4.870], [-0.258, -5.301, -0.948], [-1.646, 3.343, 3.896]],
  "species": ["Se", "Se", "Ru", "Cd"],
  "frac_coords": [[0.000, 0.000, 0.000], [0.250, 0.750, 0.500], [0.750, 0.250, 0.500], [0.500, 0.500, 0.000]]
}